# 1
Entry from the Alexandria database: CaTiS2Cl after structural relaxation (PBE).

a b c (Å): 4.800 4.800 4.703
angles (deg): 90.00 90.00 90.00
Element x y z (fractional)
1 Ca 0.000 0.000 0.000
2 Ti 0.500 0.500 0.500
3 S 0.000 0.500 0.500
4 S 0.500 0.000 0.500
5 Cl 0.500 0.500 0.000

relative energy among the computed polymorphs: 0.000 eV per atom
space-group type: P4/mmm (123)
ΔE_f (raw): -1.422 eV per atom



# 2
Entry from the Alexandria database: SrCa6Ni2 after structural relaxation (PBE).

a b c (Å): 9.187 9.187 9.187
angles (deg): 111.24 108.98 108.21
Element x y z (fractional)
1 Sr 0.000 0.000 0.000
2 Sr 0.500 0.000 0.500
3 Ca 0.013 0.240 0.774
4 Ca 0.180 0.486 0.306
5 Ca 0.180 0.873 0.694
6 Ca 0.319 0.311 0.630
7 Ca 0.319 0.689 0.007
8 Ca 0.466 0.240 0.226
9 Ca 0.534 0.760 0.774
10 Ca 0.681 0.311 0.993
11 Ca 0.681 0.689 0.370
12 Ca 0.820 0.127 0.306
13 Ca 0.820 0.514 0.694
14 Ca 0.987 0.760 0.226
15 Ni 0.111 0.500 0.611
16 Ni 0.388 0.388 0.000
17 Ni 0.612 0.612 0.000
18 Ni 0.889 0.500 0.389

formation energy: -0.01 eV per atom
space-group type: Immm (71)



# 3
Entry from the Alexandria database: Sc6TlSe2S3 after structural relaxation (PBE).

a b c (Å): 8.616 8.616 7.861
angles (deg): 104.35 104.35 24.98
Element x y z (fractional)
1 Sc 0.005 0.005 0.225
2 Sc 0.325 0.325 0.431
3 Sc 0.337 0.337 0.904
4 Sc 0.663 0.663 0.096
5 Sc 0.675 0.675 0.569
6 Sc 0.995 0.995 0.775
7 Tl 0.500 0.500 0.500
8 Se 0.167 0.167 0.834
9 Se 0.833 0.833 0.166
10 S 0.168 0.168 0.329
11 S 0.500 0.500 0.000
12 S 0.832 0.832 0.671

space-group type: C2/m (12)
ΔE_f (raw): -1.474 eV per atom



# 4
Entry from the Alexandria database: Cs2LiC after structural relaxation (PBE).

a b c (Å): 9.166 9.166 9.166
angles (deg): 60.00 60.00 60.00
Element x y z (fractional)
1 Cs 0.000 0.000 0.000
2 Cs 0.000 0.000 0.500
3 Cs 0.000 0.500 0.000
4 Cs 0.500 0.000 0.000
5 Li 0.375 0.375 0.375
6 Li 0.625 0.625 0.625
7 C 0.125 0.125 0.125
8 C 0.875 0.875 0.875

formation energy: 1.50 eV per atom
space-group type: Fd-3m (227)



# 5
Entry from the Alexandria database: Li4DySn2 after structural relaxation (PBE).

a b c (Å): 8.171 8.171 8.171
angles (deg): 33.70 33.70 33.70
Element x y z (fractional)
1 Li 0.081 0.081 0.081
2 Li 0.363 0.363 0.363
3 Li 0.637 0.637 0.637
4 Li 0.919 0.919 0.919
5 Dy 0.500 0.500 0.500
6 Sn 0.239 0.239 0.239
7 Sn 0.761 0.761 0.761

formation energy: -0.47 eV per atom
relative energy among the computed polymorphs: 0.000 eV per atom
space-group type: R-3m (166)



# 6
Entry from the Alexandria database: NdDyAl4 after structural relaxation (PBE).

a b c (Å): 5.627 5.627 5.627
angles (deg): 60.00 60.00 60.00
Element x y z (fractional)
1 Nd 0.000 0.000 0.000
2 Dy 0.250 0.250 0.250
3 Al 0.125 0.625 0.625
4 Al 0.625 0.125 0.625
5 Al 0.625 0.625 0.125
6 Al 0.625 0.625 0.625

formation energy: -0.50 eV per atom
space-group type: F-43m (216)



# 7
Entry from the Alexandria database: PrHo4PbS8 after structural relaxation (PBE).

a b c (Å): 8.262 8.262 8.262
angles (deg): 58.73 58.73 58.73
Element x y z (fractional)
1 Pr 0.000 0.000 0.000
2 Ho 0.000 0.000 0.493
3 Ho 0.000 0.493 0.000
4 Ho 0.493 0.000 0.000
5 Ho 0.624 0.624 0.624
6 Pb 0.371 0.371 0.371
7 S 0.229 0.749 0.749
8 S 0.232 0.232 0.232
9 S 0.243 0.243 0.785
10 S 0.243 0.785 0.243
11 S 0.749 0.229 0.749
12 S 0.749 0.749 0.229
13 S 0.756 0.756 0.756
14 S 0.785 0.243 0.243

space-group type: R3m (160)
ΔE_f (raw): -1.754 eV per atom



# 8
Entry from the Alexandria database: BaCa2Pd2 after structural relaxation (PBE).

a b c (Å): 8.258 8.258 4.169
angles (deg): 90.00 90.00 90.00
Element x y z (fractional)
1 Ba 0.000 0.000 0.000
2 Ba 0.500 0.500 0.000
3 Ca 0.150 0.350 0.500
4 Ca 0.350 0.850 0.500
5 Ca 0.650 0.150 0.500
6 Ca 0.850 0.650 0.500
7 Pd 0.126 0.626 0.000
8 Pd 0.374 0.126 0.000
9 Pd 0.626 0.874 0.000
10 Pd 0.874 0.374 0.000

formation energy: -0.49 eV per atom
relative energy among the computed polymorphs: 0.020 eV per atom
space-group type: P4/mbm (127)



# 9
Entry from the Alexandria database: LuPaRePt after structural relaxation (PBE).

a b c (Å): 4.876 4.876 4.876
angles (deg): 60.00 60.00 60.00
Element x y z (fractional)
1 Lu 0.000 0.000 0.000
2 Pa 0.500 0.500 0.500
3 Re 0.250 0.250 0.250
4 Pt 0.750 0.750 0.750

formation energy: -0.46 eV per atom
space-group type: F-43m (216)



# 10
Entry from the Alexandria database: Th2ZrTl after structural relaxation (PBE).

a b c (Å): 4.127 4.127 6.811
angles (deg): 90.00 90.00 90.00
Element x y z (fractional)
1 Th 0.000 0.000 0.247
2 Th 0.000 0.000 0.753
3 Zr 0.500 0.500 0.500
4 Tl 0.500 0.500 0.000

formation energy: 0.07 eV per atom
relative energy among the computed polymorphs: 0.106 eV per atom
space-group type: P4/mmm (123)



# 11
Entry from the Alexandria database: SrCa3Ir after structural relaxation (PBE).

a b c (Å): 7.735 7.735 8.364
angles (deg): 122.60 122.60 71.87
Element x y z (fractional)
1 Sr 0.053 0.053 0.347
2 Sr 0.947 0.947 0.653
3 Ca 0.066 0.459 0.201
4 Ca 0.446 0.446 0.760
5 Ca 0.459 0.066 0.201
6 Ca 0.541 0.934 0.799
7 Ca 0.554 0.554 0.240
8 Ca 0.934 0.541 0.799
9 Ir 0.257 0.257 0.888
10 Ir 0.743 0.743 0.112

formation energy: -0.24 eV per atom
relative energy among the computed polymorphs: 0.000 eV per atom
space-group type: C2/m (12)



# 12
Entry from the Alexandria database: Tm5OsRh after structural relaxation (PBE).

a b c (Å): 8.092 8.092 5.647
angles (deg): 100.66 100.66 86.73
Element x y z (fractional)
1 Tm 0.100 0.900 0.750
2 Tm 0.127 0.343 0.885
3 Tm 0.301 0.562 0.460
4 Tm 0.343 0.127 0.385
5 Tm 0.438 0.699 0.040
6 Tm 0.562 0.301 0.960
7 Tm 0.657 0.873 0.615
8 Tm 0.699 0.438 0.540
9 Tm 0.873 0.657 0.115
10 Tm 0.900 0.100 0.250
11 Os 0.159 0.841 0.250
12 Os 0.841 0.159 0.750
13 Rh 0.000 0.500 0.500
14 Rh 0.500 0.000 0.000

formation energy: -0.25 eV per atom
space-group type: C2/c (15)